The following is a DFT calculation (GGA-PBE) of a relaxed ScNbAsBr2 crystal.

Cell lengths 5.0635, 5.0635, 5.4168 Å; angles 90.00, 90.00, 90.00 degrees
Element x y z (fractional)
Sc  0.0000  0.0000  0.0000
Nb  0.5000  0.5000  0.5000
As  0.0000  0.0000  0.5000
Br  0.0000  0.5000  0.0000
Br  0.5000  0.0000  0.0000

Output
- SG: P4/mmm (123)
- D(E_F): 6.54 states/eV/cell
- ΔE_f (raw): 0.7 eV per formula unit
- Relative energy among the computed polymorphs: 90 meV/atom